Density functional theory data (PBE) for crystalline In2NiSn4 at its relaxed geometry.

It has space group I4/mmm (No. 139), with a = 4.826 Å, b = 4.826 Å, c = 17.092 Å, α = 90.00°, β = 90.00° and γ = 90.00°. Symmetry generates all atoms from In at (0.000, 0.000, 0.164), Ni at (0.000, 0.000, 0.500), Sn at (0.000, 0.000, 0.345) and Sn at (0.000, 0.500, 0.000).

The calculation puts the spin magnetization at 0.00 μB per formula unit. The total energy comes out at -0.2784 Ry per atom.